# PBE-GGA NaPr3, relaxed
# - final energy (eV per atom) = -3.68
# - total magnetization (Bohr magnetons per cell) = 0.0
# - DFT formation energy (eV/atom) = 0.236
data_NaPr3
_chemical_formula_sum 'Na1 Pr3'
_space_group_name_H-M_alt 'P m -3 m'
_space_group_IT_number 221
_space_group_name_Hall '-P 4 2 3'
_cell_length_a 5.2105
_cell_length_b 5.2105
_cell_length_c 5.2105
_cell_angle_alpha 90.00
_cell_angle_beta 90.00
_cell_angle_gamma 90.00
loop_
_atom_site_label
_atom_site_fract_x
_atom_site_fract_y
_atom_site_fract_z
Na1 0.0000 0.0000 0.0000
Pr1 0.0000 0.5000 0.5000